# 1
! Tl2InSiTe4 PBE-GGA optimized geometry; values from VASP
! Formation energy (no corrections) ... -0.22 eV/atom
! Space-group type ... I-42m
&SYSTEM
  ibrav = 0, nat = 8, ntyp = 4
/
ATOMIC_SPECIES
Tl 204.38 Tl.upf
In 114.82 In.upf
Si 28.09 Si.upf
Te 127.60 Te.upf
CELL_PARAMETERS angstrom
-4.2685 4.2685 3.6318
4.2685 -4.2685 3.6318
4.2685 4.2685 -3.6318
ATOMIC_POSITIONS crystal
Tl 0.0000 0.5000 0.5000
Tl 0.5000 0.0000 0.5000
In 0.0000 0.0000 0.0000
Si 0.5000 0.5000 0.0000
Te 0.1162 0.1162 0.6529
Te 0.4633 0.4633 0.3471
Te 0.5367 0.8838 0.0000
Te 0.8838 0.5367 0.0000


# 2
! SiGe3Sb PBE-GGA optimized geometry; values from VASP
! ΔE to the lowest computed polymorph ... 67.9 kJ per mole of atoms
! Formation energy (no corrections) ... 1.24 eV/atom
! Space-group type ... Pm-3m
&SYSTEM
  ibrav = 0, nat = 5, ntyp = 3
/
ATOMIC_SPECIES
Si 28.09 Si.upf
Ge 72.64 Ge.upf
Sb 121.76 Sb.upf
CELL_PARAMETERS angstrom
5.2965 0.0000 0.0000
0.0000 5.2965 0.0000
0.0000 0.0000 5.2965
ATOMIC_POSITIONS crystal
Si 0.0000 0.0000 0.0000
Ge 0.0000 0.5000 0.5000
Ge 0.5000 0.0000 0.5000
Ge 0.5000 0.5000 0.0000
Sb 0.5000 0.5000 0.5000


# 3
! TiNi PBE-GGA optimized geometry; values from VASP
! E_form ... -0.15 eV per formula unit
! Space-group type ... Immm
&SYSTEM
  ibrav = 0, nat = 2, ntyp = 2
/
ATOMIC_SPECIES
Ti 47.87 Ti.upf
Ni 58.69 Ni.upf
CELL_PARAMETERS angstrom
-1.2903 2.2608 2.4143
1.2903 -2.2608 2.4143
1.2903 2.2608 -2.4143
ATOMIC_POSITIONS crystal
Ti 0.0000 0.0000 0.0000
Ni 0.5000 0.5000 0.0000


# 4
! Hf2Mg3Sc2 PBE-GGA optimized geometry; values from VASP
! E_form ... 0.21 eV per formula unit
! Space-group type ... Cmmm
&SYSTEM
  ibrav = 0, nat = 7, ntyp = 3
/
ATOMIC_SPECIES
Hf 178.49 Hf.upf
Mg 24.30 Mg.upf
Sc 44.96 Sc.upf
CELL_PARAMETERS angstrom
2.4743 -10.6940 0.0000
2.4743 10.6940 0.0000
0.0000 0.0000 3.1130
ATOMIC_POSITIONS crystal
Hf 0.2200 0.7800 0.0000
Hf 0.7800 0.2200 0.0000
Mg 0.0743 0.9257 0.0000
Mg 0.5000 0.5000 0.5000
Mg 0.9257 0.0743 0.0000
Sc 0.3472 0.6528 0.5000
Sc 0.6528 0.3472 0.5000